A plane-wave DFT calculation with PBE was carried out for crystalline KSrSmBr6 at its relaxed geometry.

Calculated values
Final energy in hartree per atom: -0.1432
Total moment in μB/f.u.: 0.000
DOS at the Fermi energy in states/eV per atom: 0.000
Crystal system: trigonal
Formation energy without anion corrections in meV per atom: -1948

Lattice parameters (Å, degrees): 7.764 7.764 14.102 90.00 90.00 120.00
Fractional coordinates of all 18 atoms:
Sm (0.667, 0.333, 0.250)
K (0.000, 0.000, 0.000)
Br (0.355, 0.374, 0.867)
Br (0.626, 0.981, 0.867)
Sr (0.333, 0.667, 0.250)
Br (0.645, 0.019, 0.367)
Br (0.645, 0.626, 0.133)
Sm (0.333, 0.667, 0.750)
Br (0.355, 0.981, 0.633)
Br (0.981, 0.626, 0.367)
Br (0.374, 0.355, 0.367)
Br (0.019, 0.374, 0.633)
Sr (0.667, 0.333, 0.750)
Br (0.374, 0.019, 0.133)
K (0.000, 0.000, 0.500)
Br (0.019, 0.645, 0.867)
Br (0.626, 0.645, 0.633)
Br (0.981, 0.355, 0.133)